No. 1
First-principles (GGA-PBE) data for a relaxed SrZn2SnIr crystal, as listed in Alexandria.

Output
ΔH_f (0 K): -0.266 eV/atom
E above lowest polymorph: 0 meV per atom
M_tot: 0.00 μB per formula unit

Structure (CIF):
```
data_SrZn2SnIr
_chemical_formula_sum 'Sr1 Zn2 Sn1 Ir1'
_space_group_name_H-M_alt 'P 4/m m m'
_space_group_IT_number 123
_space_group_name_Hall '-P 4 2'
_cell_length_a 4.923
_cell_length_b 4.923
_cell_length_c 5.100
_cell_angle_alpha 90.00
_cell_angle_beta 90.00
_cell_angle_gamma 90.00
loop_
_atom_site_label
_atom_site_type_symbol
_atom_site_fract_x
_atom_site_fract_y
_atom_site_fract_z
Sr1 Sr 0.000 0.000 0.000
Zn1 Zn 0.000 0.500 0.500
Sn1 Sn 0.500 0.500 0.000
Ir1 Ir 0.500 0.500 0.500
```

---

No. 2
First-principles (GGA-PBE) data for a relaxed YSbIrI2 crystal, as listed in Alexandria.

Output
E above lowest polymorph: 637 meV per atom
M_tot: 1.71 μB per formula unit
Formation energy without anion corrections: 0.81 eV per atom

Structure (CIF):
```
data_YSbIrI2
_chemical_formula_sum 'Y1 Sb1 Ir1 I2'
_space_group_name_H-M_alt 'P 4/m m m'
_space_group_IT_number 123
_space_group_name_Hall '-P 4 2'
_cell_length_a 5.767
_cell_length_b 5.767
_cell_length_c 6.284
_cell_angle_alpha 90.00
_cell_angle_beta 90.00
_cell_angle_gamma 90.00
loop_
_atom_site_label
_atom_site_type_symbol
_atom_site_fract_x
_atom_site_fract_y
_atom_site_fract_z
Y1 Y 0.000 0.000 0.000
Sb1 Sb 0.000 0.000 0.500
Ir1 Ir 0.500 0.500 0.500
I1 I 0.000 0.500 0.000
```

---

No. 3
First-principles (GGA-PBE) data for a relaxed AcCe3Se6 crystal, as listed in Alexandria.

Output
E above lowest polymorph: 0 meV per atom
M_tot: 2.87 μB per formula unit
Formation energy without anion corrections: -1.86 eV per atom

Structure (CIF):
```
data_AcCe3Se6
_chemical_formula_sum 'Ac2 Ce6 Se12'
_space_group_name_H-M_alt 'P 1 21/m 1'
_space_group_IT_number 11
_cell_length_a 11.891
_cell_length_b 4.324
_cell_length_c 12.326
_cell_angle_alpha 90.00
_cell_angle_beta 108.12
_cell_angle_gamma 90.00
loop_
_space_group_symop_operation_xyz
'x,y,z'
'-x,-y,-z'
'-x,y+1/2,-z'
'x,-y+1/2,z'
loop_
_atom_site_label
_atom_site_type_symbol
_atom_site_fract_x
_atom_site_fract_y
_atom_site_fract_z
Ac1 Ac 0.051 0.250 0.194
Ce1 Ce 0.160 0.250 0.585
Ce2 Ce 0.318 0.750 0.998
Ce3 Ce 0.442 0.250 0.332
Se1 Se 0.085 0.750 0.406
Se2 Se 0.121 0.250 0.963
Se3 Se 0.196 0.750 0.748
Se4 Se 0.267 0.750 0.228
Se5 Se 0.395 0.250 0.555
Se6 Se 0.480 0.250 0.111
```

---

No. 4
First-principles (GGA-PBE) data for a relaxed Be2FeRe crystal, as listed in Alexandria.

Output
ΔH_f (0 K): -0.058 eV/atom
E above lowest polymorph: 63 meV per atom
M_tot: 0.00 μB per formula unit

Structure (CIF):
```
data_Be2FeRe
_chemical_formula_sum 'Be4 Fe2 Re2'
_space_group_name_H-M_alt 'A m m 2'
_space_group_IT_number 38
_cell_length_a 3.591
_cell_length_b 2.630
_cell_length_c 8.735
_cell_angle_alpha 90.00
_cell_angle_beta 90.00
_cell_angle_gamma 90.00
loop_
_space_group_symop_operation_xyz
'x,y,z'
'-x,-y,z'
'-x,y,z'
'x,-y,z'
'x,y+1/2,z+1/2'
'-x,-y+1/2,z+1/2'
'-x,y+1/2,z+1/2'
'x,-y+1/2,z+1/2'
loop_
_atom_site_label
_atom_site_type_symbol
_atom_site_fract_x
_atom_site_fract_y
_atom_site_fract_z
Be1 Be 0.000 0.000 0.000
Be2 Be 0.500 0.000 0.122
Fe1 Fe 0.000 0.000 0.728
Re1 Re 0.500 0.000 0.384
```

---

No. 5
First-principles (GGA-PBE) data for a relaxed MgTaGa2N4 crystal, as listed in Alexandria.

Output
M_tot: 0.00 μB per formula unit
Formation energy without anion corrections: -0.58 eV per atom

Structure (CIF):
```
data_MgTaGa2N4
_chemical_formula_sum 'Mg2 Ta2 Ga4 N8'
_space_group_name_H-M_alt 'I -4 2 m'
_space_group_IT_number 121
_space_group_name_Hall 'I -4 2'
_cell_length_a 4.684
_cell_length_b 4.684
_cell_length_c 9.506
_cell_angle_alpha 90.00
_cell_angle_beta 90.00
_cell_angle_gamma 90.00
loop_
_atom_site_label
_atom_site_type_symbol
_atom_site_fract_x
_atom_site_fract_y
_atom_site_fract_z
Mg1 Mg 0.000 0.000 0.000
Ta1 Ta 0.000 0.000 0.500
Ga1 Ga 0.000 0.500 0.250
N1 N 0.237 0.237 0.372
```

---

No. 6
First-principles (GGA-PBE) data for a relaxed TaCo2HW crystal, as listed in Alexandria.

Output
E above lowest polymorph: 0 meV per atom
M_tot: 0.00 μB per formula unit

Structure (CIF):
```
data_TaCo2HW
_chemical_formula_sum 'Ta1 Co2 H1 W1'
_space_group_name_H-M_alt 'P 4/m m m'
_space_group_IT_number 123
_space_group_name_Hall '-P 4 2'
_cell_length_a 3.789
_cell_length_b 3.789
_cell_length_c 3.939
_cell_angle_alpha 90.00
_cell_angle_beta 90.00
_cell_angle_gamma 90.00
loop_
_atom_site_label
_atom_site_type_symbol
_atom_site_fract_x
_atom_site_fract_y
_atom_site_fract_z
Ta1 Ta 0.000 0.000 0.000
Co1 Co 0.000 0.500 0.500
H1 H 0.500 0.500 0.500
W1 W 0.500 0.500 0.000
```

---

No. 7
First-principles (GGA-PBE) data for a relaxed ZrGa2Fe9 crystal, as listed in Alexandria.

Output
ΔH_f (0 K): -0.031 eV/atom
M_tot: 17.58 μB per formula unit

Structure (CIF):
```
data_ZrGa2Fe9
_chemical_formula_sum 'Zr3 Ga6 Fe27'
_space_group_name_H-M_alt 'R -3 m'
_space_group_IT_number 166
_space_group_name_Hall '-R 3 2"'
_cell_length_a 4.8608
_cell_length_b 4.8608
_cell_length_c 23.0744
_cell_angle_alpha 90.00
_cell_angle_beta 90.00
_cell_angle_gamma 120.00
loop_
_atom_site_label
_atom_site_type_symbol
_atom_site_fract_x
_atom_site_fract_y
_atom_site_fract_z
Zr1 Zr 0.0000 0.0000 0.0000
Ga1 Ga 0.0000 0.0000 0.1398
Fe1 Fe 0.0000 0.0000 0.3345
Fe2 Fe 0.0000 0.0000 0.5000
Fe3 Fe 0.0069 0.5034 0.9132
```

---

No. 8
First-principles (GGA-PBE) data for a relaxed InNiHg2 crystal, as listed in Alexandria.

Output
ΔH_f (0 K): 0.165 eV/atom
M_tot: 0.00 μB per formula unit

Structure (CIF):
```
data_InNiHg2
_chemical_formula_sum 'In4 Ni4 Hg8'
_space_group_name_H-M_alt 'I -4 2 d'
_space_group_IT_number 122
_space_group_name_Hall 'I -4 2bw'
_cell_length_a 8.744
_cell_length_b 8.744
_cell_length_c 5.094
_cell_angle_alpha 90.00
_cell_angle_beta 90.00
_cell_angle_gamma 90.00
loop_
_atom_site_label
_atom_site_type_symbol
_atom_site_fract_x
_atom_site_fract_y
_atom_site_fract_z
In1 In 0.000 0.000 0.000
Ni1 Ni 0.000 0.000 0.500
Hg1 Hg 0.146 0.250 0.625
```

---

No. 9
First-principles (GGA-PBE) data for a relaxed K3TlTc crystal, as listed in Alexandria.

Output
ΔH_f (0 K): 1.137 eV/atom
E above lowest polymorph: 0 meV per atom
M_tot: 2.70 μB per formula unit

Structure (CIF):
```
data_K3TlTc
_chemical_formula_sum 'K3 Tl1 Tc1'
_space_group_name_H-M_alt 'P m -3 m'
_space_group_IT_number 221
_space_group_name_Hall '-P 4 2 3'
_cell_length_a 6.345
_cell_length_b 6.345
_cell_length_c 6.345
_cell_angle_alpha 90.00
_cell_angle_beta 90.00
_cell_angle_gamma 90.00
loop_
_atom_site_label
_atom_site_type_symbol
_atom_site_fract_x
_atom_site_fract_y
_atom_site_fract_z
K1 K 0.000 0.000 0.500
Tl1 Tl 0.500 0.500 0.500
Tc1 Tc 0.000 0.000 0.000
```

---

No. 10
First-principles (GGA-PBE) data for a relaxed TlHg4Pb7 crystal, as listed in Alexandria.

Output
ΔH_f (0 K): 0.112 eV/atom
E above lowest polymorph: 90 meV per atom
M_tot: 0.00 μB per formula unit

Structure (CIF):
```
data_TlHg4Pb7
_chemical_formula_sum 'Tl2 Hg8 Pb14'
_space_group_name_H-M_alt 'C 1 2/m 1'
_space_group_IT_number 12
_cell_length_a 14.216
_cell_length_b 5.835
_cell_length_c 11.260
_cell_angle_alpha 90.00
_cell_angle_beta 125.58
_cell_angle_gamma 90.00
loop_
_space_group_symop_operation_xyz
'x,y,z'
'-x,-y,-z'
'-x,y,-z'
'x,-y,z'
'x+1/2,y+1/2,z'
'-x+1/2,-y+1/2,-z'
'-x+1/2,y+1/2,-z'
'x+1/2,-y+1/2,z'
loop_
_atom_site_label
_atom_site_type_symbol
_atom_site_fract_x
_atom_site_fract_y
_atom_site_fract_z
Tl1 Tl 0.000 0.000 0.000
Hg1 Hg 0.068 0.500 0.771
Hg2 Hg 0.217 0.500 0.327
Pb1 Pb 0.000 0.500 0.000
Pb2 Pb 0.077 0.000 0.344
Pb3 Pb 0.153 0.500 0.572
Pb4 Pb 0.214 0.000 0.891
```

---

No. 11
First-principles (GGA-PBE) data for a relaxed TaAlIn2 crystal, as listed in Alexandria.

Output
ΔH_f (0 K): 0.270 eV/atom
M_tot: 0.00 μB per formula unit

Structure (CIF):
```
data_TaAlIn2
_chemical_formula_sum 'Ta1 Al1 In2'
_space_group_name_H-M_alt 'P m m m'
_space_group_IT_number 47
_cell_length_a 3.007
_cell_length_b 5.212
_cell_length_c 5.224
_cell_angle_alpha 90.00
_cell_angle_beta 90.00
_cell_angle_gamma 90.00
loop_
_space_group_symop_operation_xyz
'x,y,z'
'-x,-y,-z'
'-x,-y,z'
'x,y,-z'
'x,-y,-z'
'-x,y,z'
'-x,y,-z'
'x,-y,z'
loop_
_atom_site_label
_atom_site_type_symbol
_atom_site_fract_x
_atom_site_fract_y
_atom_site_fract_z
Ta1 Ta 0.000 0.000 0.000
Al1 Al 0.500 0.500 0.000
In1 In 0.000 0.500 0.500
In2 In 0.500 0.000 0.500
```

---

No. 12
First-principles (GGA-PBE) data for a relaxed ZnInAg crystal, as listed in Alexandria.

Output
ΔH_f (0 K): 0.045 eV/atom
E above lowest polymorph: 41 meV per atom
M_tot: 0.00 μB per formula unit

Structure (CIF):
```
data_ZnInAg
_chemical_formula_sum 'Zn2 In2 Ag2'
_space_group_name_H-M_alt 'I m m 2'
_space_group_IT_number 44
_cell_length_a 3.646
_cell_length_b 3.786
_cell_length_c 8.490
_cell_angle_alpha 90.00
_cell_angle_beta 90.00
_cell_angle_gamma 90.00
loop_
_space_group_symop_operation_xyz
'x,y,z'
'-x,-y,z'
'-x,y,z'
'x,-y,z'
'x+1/2,y+1/2,z+1/2'
'-x+1/2,-y+1/2,z+1/2'
'-x+1/2,y+1/2,z+1/2'
'x+1/2,-y+1/2,z+1/2'
loop_
_atom_site_label
_atom_site_type_symbol
_atom_site_fract_x
_atom_site_fract_y
_atom_site_fract_z
Zn1 Zn 0.000 0.000 0.000
In1 In 0.000 0.000 0.331
Ag1 Ag 0.000 0.000 0.665
```

---

No. 13
First-principles (GGA-PBE) data for a relaxed PuTlAg2Br6 crystal, as listed in Alexandria.

Output
M_tot: 5.00 μB per formula unit
Formation energy without anion corrections: -0.88 eV per atom

Structure (CIF):
```
data_PuTlAg2Br6
_chemical_formula_sum 'Pu1 Tl1 Ag2 Br6'
_space_group_name_H-M_alt 'P 1'
_space_group_IT_number 1
_cell_length_a 7.451
_cell_length_b 7.455
_cell_length_c 8.050
_cell_angle_alpha 117.54
_cell_angle_beta 90.17
_cell_angle_gamma 119.27
loop_
_space_group_symop_operation_xyz
'x,y,z'
loop_
_atom_site_label
_atom_site_type_symbol
_atom_site_fract_x
_atom_site_fract_y
_atom_site_fract_z
Pu1 Pu 0.000 0.000 0.000
Tl1 Tl 0.519 0.037 0.554
Ag1 Ag 0.329 0.663 0.991
Ag2 Ag 0.815 0.628 0.441
Br1 Br 0.073 0.481 0.217
Br2 Br 0.171 0.149 0.734
Br3 Br 0.413 0.152 0.214
Br4 Br 0.584 0.755 0.734
Br5 Br 0.737 0.801 0.213
Br6 Br 0.973 0.558 0.732
```

---

No. 14
First-principles (GGA-PBE) data for a relaxed Pm2Sm2Sb5 crystal, as listed in Alexandria.

Output
M_tot: 0.00 μB per formula unit
Formation energy without anion corrections: -0.91 eV per atom

Structure (CIF):
```
data_Pm2Sm2Sb5
_chemical_formula_sum 'Pm8 Sm8 Sb20'
_space_group_name_H-M_alt 'C m c e'
_space_group_IT_number 64
_space_group_name_Hall '-C 2ac 2'
_cell_length_a 16.114
_cell_length_b 8.164
_cell_length_c 8.329
_cell_angle_alpha 90.00
_cell_angle_beta 90.00
_cell_angle_gamma 90.00
loop_
_atom_site_label
_atom_site_type_symbol
_atom_site_fract_x
_atom_site_fract_y
_atom_site_fract_z
Pm1 Pm 0.000 0.159 0.163
Sm1 Sm 0.190 0.000 0.500
Sb1 Sb 0.000 0.000 0.500
Sb2 Sb 0.141 0.141 0.858
```

---

No. 15
First-principles (GGA-PBE) data for a relaxed Ac6In2Au crystal, as listed in Alexandria.

Output
ΔH_f (0 K): -0.307 eV/atom
E above lowest polymorph: 0 meV per atom
M_tot: 0.00 μB per formula unit

Structure (CIF):
```
data_Ac6In2Au
_chemical_formula_sum 'Ac12 In4 Au2'
_space_group_name_H-M_alt 'P 1 21/c 1'
_space_group_IT_number 14
_cell_length_a 7.003
_cell_length_b 9.353
_cell_length_c 12.582
_cell_angle_alpha 90.00
_cell_angle_beta 121.70
_cell_angle_gamma 90.00
loop_
_space_group_symop_operation_xyz
'x,y,z'
'-x,-y,-z'
'-x,y+1/2,-z+1/2'
'x,-y+1/2,z+1/2'
loop_
_atom_site_label
_atom_site_type_symbol
_atom_site_fract_x
_atom_site_fract_y
_atom_site_fract_z
Ac1 Ac 0.065 0.173 0.442
Ac2 Ac 0.324 0.679 0.440
Ac3 Ac 0.395 0.035 0.274
In1 In 0.174 0.124 0.751
Au1 Au 0.000 0.000 0.000
```

---

No. 16
First-principles (GGA-PBE) data for a relaxed NaCdPd2F8 crystal, as listed in Alexandria.

Output
M_tot: 5.00 μB per formula unit
Formation energy without anion corrections: -1.59 eV per atom

Structure (CIF):
```
data_NaCdPd2F8
_chemical_formula_sum 'Na2 Cd2 Pd4 F16'
_space_group_name_H-M_alt 'I -4 m 2'
_space_group_IT_number 119
_space_group_name_Hall 'I -4 -2'
_cell_length_a 5.379
_cell_length_b 5.379
_cell_length_c 10.744
_cell_angle_alpha 90.00
_cell_angle_beta 90.00
_cell_angle_gamma 90.00
loop_
_atom_site_label
_atom_site_type_symbol
_atom_site_fract_x
_atom_site_fract_y
_atom_site_fract_z
Na1 Na 0.000 0.000 0.000
Cd1 Cd 0.000 0.500 0.250
Pd1 Pd 0.000 0.000 0.500
Pd2 Pd 0.000 0.500 0.750
F1 F 0.236 0.247 0.626
```

---

No. 17
First-principles (GGA-PBE) data for a relaxed Rb2HAuF6 crystal, as listed in Alexandria.

Output
E above lowest polymorph: 369 meV per atom
M_tot: 0.00 μB per formula unit

Structure (CIF):
```
data_Rb2HAuF6
_chemical_formula_sum 'Rb4 H2 Au2 F12'
_space_group_name_H-M_alt 'I 4/m m m'
_space_group_IT_number 139
_space_group_name_Hall '-I 4 2'
_cell_length_a 5.630
_cell_length_b 5.630
_cell_length_c 9.571
_cell_angle_alpha 90.00
_cell_angle_beta 90.00
_cell_angle_gamma 90.00
loop_
_atom_site_label
_atom_site_type_symbol
_atom_site_fract_x
_atom_site_fract_y
_atom_site_fract_z
Rb1 Rb 0.000 0.500 0.250
H1 H 0.000 0.000 0.000
Au1 Au 0.000 0.000 0.500
F1 F 0.000 0.000 0.291
F2 F 0.216 0.216 0.000
```

---

No. 18
First-principles (GGA-PBE) data for a relaxed RbLiCdTc2 crystal, as listed in Alexandria.

Output
ΔH_f (0 K): 1.541 eV/atom
M_tot: 5.98 μB per formula unit

Structure (CIF):
```
data_RbLiCdTc2
_chemical_formula_sum 'Rb1 Li1 Cd1 Tc2'
_space_group_name_H-M_alt 'P 4/m m m'
_space_group_IT_number 123
_space_group_name_Hall '-P 4 2'
_cell_length_a 5.270
_cell_length_b 5.270
_cell_length_c 5.230
_cell_angle_alpha 90.00
_cell_angle_beta 90.00
_cell_angle_gamma 90.00
loop_
_atom_site_label
_atom_site_type_symbol
_atom_site_fract_x
_atom_site_fract_y
_atom_site_fract_z
Rb1 Rb 0.000 0.000 0.000
Li1 Li 0.500 0.500 0.000
Cd1 Cd 0.500 0.500 0.500
Tc1 Tc 0.000 0.500 0.500
```